[1]
A geometry-optimized BeZnInNiPd structure, computed with GGA-PBE.

Cell lengths 4.7342, 4.7342, 6.1331 Å; angles 126.40, 126.40, 41.86 degrees
Closest atoms and distances in Å follow each position.
Atoms (fractional coordinates):
Be 0.0000 0.0000 0.0000  2 Ni 2.19, 2 Pd 2.42
Zn 0.2381 0.2381 0.6596  2 Be 2.54, 3 Ni 2.59-2.79, 3 Pd 2.67-2.73, 1 In 2.75
In 0.8462 0.8462 0.4051  3 Pd 2.62-2.78, 3 Ni 2.66-2.74, 3 Zn 2.75-2.85
Ni 0.4778 0.4778 0.2058  2 Be 2.19
Pd 0.6138 0.6138 0.8523  2 Be 2.42, 1 In 2.62, 2 Zn 2.67

Values from the calculation:
excess energy over the best structure of this formula in the dataset	0.040	eV/atom
crystal system	monoclinic
formation enthalpy at 0 K	-214	meV/atom

[2]
A geometry-optimized BaScTlPd2 structure, computed with GGA-PBE.

Cell lengths 5.3183, 5.3183, 5.7642 Å; angles 90.00, 90.00, 90.00 degrees
Closest atoms and distances in Å follow each position.
Atoms (fractional coordinates):
Ba 0.0000 0.0000 0.0000  4 Pd 2.66, 2 Sc 2.88
Sc 0.0000 0.0000 0.5000  2 Ba 2.88
Tl 0.5000 0.5000 0.5000  4 Sc 3.76, 8 Pd 3.92
Pd 0.0000 0.5000 0.0000  2 Ba 2.66
Pd 0.5000 0.0000 0.0000  2 Ba 2.66

Values from the calculation:
crystal system	tetragonal
formation enthalpy at 0 K	1000	meV/atom

[3]
A geometry-optimized Tb3Er2Sc structure, computed with GGA-PBE.

Cell lengths 8.8897, 8.8897, 13.9590 Å; angles 116.73, 116.73, 22.19 degrees
Closest atoms and distances in Å follow each position.
Atoms (fractional coordinates):
Tb 0.0370 0.0370 0.2194  3 Er 3.39-3.57, 8 Tb 3.42-3.76, 2 Sc 3.58
Tb 0.2559 0.2559 0.7053  4 Er 3.27-3.43, 3 Tb 3.42-3.43, 2 Sc 3.51
Tb 0.4003 0.4003 0.9738  6 Tb 3.21-3.59, 3 Er 3.42-3.44
Tb 0.5997 0.5997 0.0262  6 Tb 3.21-3.59, 3 Er 3.42-3.44
Tb 0.7441 0.7441 0.2947  4 Er 3.27-3.43, 3 Tb 3.42-3.43, 2 Sc 3.51
Tb 0.9630 0.9630 0.7806  3 Er 3.39-3.57, 8 Tb 3.42-3.76, 2 Sc 3.58
Er 0.1802 0.1802 0.8804  5 Tb 3.27-3.44, 4 Er 3.42-3.54, 2 Sc 3.46
Er 0.3442 0.3442 0.5307  2 Sc 3.39-3.46, 5 Tb 3.40-3.57, 4 Er 3.42-3.45
Er 0.6558 0.6558 0.4693  2 Sc 3.39-3.46, 5 Tb 3.40-3.57, 4 Er 3.42-3.45
Er 0.8198 0.8198 0.1196  5 Tb 3.27-3.44, 4 Er 3.42-3.54, 2 Sc 3.46
Sc 0.4375 0.4375 0.3587  4 Er 3.39-3.46, 3 Sc 3.42-3.53, 4 Tb 3.51-3.58
Sc 0.5625 0.5625 0.6413  4 Er 3.39-3.46, 3 Sc 3.42-3.53, 4 Tb 3.51-3.58

Values from the calculation:
excess energy over the best structure of this formula in the dataset	0.112	eV/atom
crystal system	monoclinic
formation enthalpy at 0 K	145	meV/atom

[4]
A geometry-optimized MnCrIr structure, computed with GGA-PBE.

Cell lengths 4.0394, 4.0394, 2.6223 Å; angles 90.00, 90.00, 120.00 degrees
Closest atoms and distances in Å follow each position.
Atoms (fractional coordinates):
Mn 0.0000 0.0000 0.0000  3 Cr 2.33
Cr 0.6667 0.3333 0.0000  3 Mn 2.33
Ir 0.3333 0.6667 0.5000  2 Ir 2.62, 6 Mn 2.68, 6 Cr 2.68

Values from the calculation:
excess energy over the best structure of this formula in the dataset	0.000	eV/atom
crystal system	hexagonal
formation enthalpy at 0 K	-102	meV/atom

[5]
A geometry-optimized TeBrO2 structure, computed with GGA-PBE.

Cell lengths 4.3124, 4.3124, 4.3124 Å; angles 60.00, 60.00, 60.00 degrees
Closest atoms and distances in Å follow each position.
Atoms (fractional coordinates):
Te 0.0000 0.0000 0.0000  8 O 2.64
Br 0.5000 0.5000 0.5000  8 O 2.64
O 0.2500 0.2500 0.2500  4 Br 2.64, 4 Te 2.64
O 0.7500 0.7500 0.7500  4 Br 2.64, 4 Te 2.64

Values from the calculation:
excess energy over the best structure of this formula in the dataset	1.199	eV/atom
crystal system	cubic
formation energy without anion corrections	219	kJ/mol of formula units

[6]
A geometry-optimized CaO3F structure, computed with GGA-PBE.

Cell lengths 3.8555, 3.8555, 3.8555 Å; angles 90.00, 90.00, 90.00 degrees
Closest atoms and distances in Å follow each position.
Atoms (fractional coordinates):
Ca 0.0000 0.0000 0.0000  12 O 2.73
O 0.0000 0.5000 0.5000  2 F 1.93
O 0.5000 0.0000 0.5000  2 F 1.93
O 0.5000 0.5000 0.0000  2 F 1.93
F 0.5000 0.5000 0.5000  6 O 1.93

Values from the calculation:
crystal system	cubic
formation energy without anion corrections	-84	kJ/mol of formula units

Repeat the fifth record exactly.
A geometry-optimized TeBrO2 structure, computed with GGA-PBE.

Cell lengths 4.3124, 4.3124, 4.3124 Å; angles 60.00, 60.00, 60.00 degrees
Closest atoms and distances in Å follow each position.
Atoms (fractional coordinates):
Te 0.0000 0.0000 0.0000  8 O 2.64
Br 0.5000 0.5000 0.5000  8 O 2.64
O 0.2500 0.2500 0.2500  4 Br 2.64, 4 Te 2.64
O 0.7500 0.7500 0.7500  4 Br 2.64, 4 Te 2.64

Values from the calculation:
excess energy over the best structure of this formula in the dataset	1.199	eV/atom
crystal system	cubic
formation energy without anion corrections	219	kJ/mol of formula units

Please write out number 1 again, unchanged.
A geometry-optimized BeZnInNiPd structure, computed with GGA-PBE.

Cell lengths 4.7342, 4.7342, 6.1331 Å; angles 126.40, 126.40, 41.86 degrees
Closest atoms and distances in Å follow each position.
Atoms (fractional coordinates):
Be 0.0000 0.0000 0.0000  2 Ni 2.19, 2 Pd 2.42
Zn 0.2381 0.2381 0.6596  2 Be 2.54, 3 Ni 2.59-2.79, 3 Pd 2.67-2.73, 1 In 2.75
In 0.8462 0.8462 0.4051  3 Pd 2.62-2.78, 3 Ni 2.66-2.74, 3 Zn 2.75-2.85
Ni 0.4778 0.4778 0.2058  2 Be 2.19
Pd 0.6138 0.6138 0.8523  2 Be 2.42, 1 In 2.62, 2 Zn 2.67

Values from the calculation:
excess energy over the best structure of this formula in the dataset	0.040	eV/atom
crystal system	monoclinic
formation enthalpy at 0 K	-214	meV/atom

Repeat the fourth record exactly.
A geometry-optimized MnCrIr structure, computed with GGA-PBE.

Cell lengths 4.0394, 4.0394, 2.6223 Å; angles 90.00, 90.00, 120.00 degrees
Closest atoms and distances in Å follow each position.
Atoms (fractional coordinates):
Mn 0.0000 0.0000 0.0000  3 Cr 2.33
Cr 0.6667 0.3333 0.0000  3 Mn 2.33
Ir 0.3333 0.6667 0.5000  2 Ir 2.62, 6 Mn 2.68, 6 Cr 2.68

Values from the calculation:
excess energy over the best structure of this formula in the dataset	0.000	eV/atom
crystal system	hexagonal
formation enthalpy at 0 K	-102	meV/atom